PmHoPtO6, relaxed, DFT PBE-GGA; density of states at the Fermi level = 14.02 states/eV per cell; ρ = 7.6 g/cm³; E_form (uncorrected) = -2.007 eV/atom
1.0
-1.474 1.583 5.098
-2.144 -4.609 -2.197
7.407 -5.242 3.770
Ho Pt O Pm
2 2 12 2
Cartesian
-0.069 -3.856 1.177 Ho
3.857 -4.412 5.494 Ho
0.154 -1.791 3.609 Pt
3.634 -6.477 3.062 Pt
3.864 -4.987 1.769 O
3.403 -7.974 4.347 O
1.635 -1.020 4.684 O
5.109 -5.707 4.147 O
-1.129 -0.730 4.692 O
1.430 -2.862 2.527 O
-0.076 -3.281 4.902 O
-1.321 -2.561 2.524 O
2.153 -7.248 1.987 O
4.917 -7.538 1.979 O
0.385 -0.294 2.324 O
2.358 -5.406 4.145 O
3.703 -2.621 1.885 Pm
0.000 0.000 0.000 Pm